Record 1
VASP calculation (GGA-PBE) on a relaxed structure of ScCoW2.

```
ScCoW2
1.0
1.4254 0.8229 9.0730
-1.4254 0.8229 9.0730
0.0000 -1.6459 9.0730
Sc Co W
1 1 2
Cartesian
0.0000 0.0000 0.0000
0.0000 0.0000 13.6094
0.0000 0.0000 6.5752
0.0000 0.0000 20.6436
```

Summary:
formation energy = 151 kJ/mol of formula units
energy above the most stable polymorph in this dataset = 297 meV per atom
space-group type = R-3m, No. 166


Record 2
VASP calculation (GGA-PBE) on a relaxed structure of ScCoW2.

```
ScCoW2
1.0
3.1647 0.0000 0.0000
0.0000 3.1647 0.0000
0.0000 0.0000 6.3406
Sc Co W
1 1 2
Cartesian
0.0000 0.0000 0.0000
1.5824 1.5824 4.7163
0.0000 0.0000 3.2691
1.5824 1.5824 1.8082
```

Summary:
formation energy = 38 kJ/mol of formula units
energy above the most stable polymorph in this dataset = 3 meV per atom
space-group type = P4mm, No. 99


Record 3
VASP calculation (GGA-PBE) on a relaxed structure of Sc2CoW.

```
Sc2CoW
1.0
1.5252 0.8806 9.0113
-1.5252 0.8806 9.0113
0.0000 -1.7612 9.0113
Sc Co W
2 1 1
Cartesian
0.0000 0.0000 0.0000
0.0000 0.0000 6.0816
0.0000 0.0000 20.0310
0.0000 0.0000 12.7742
```

Summary:
formation energy = 112 kJ/mol of formula units
energy above the most stable polymorph in this dataset = 266 meV per atom
space-group type = R3m, No. 160


Record 4
VASP calculation (GGA-PBE) on a relaxed structure of ScCoW2.

```
ScCoW2
1.0
2.7652 0.0000 0.0000
0.0000 4.3254 0.0000
-0.8669 0.0000 5.2656
Sc Co W
1 1 2
Cartesian
0.0000 0.0000 0.0000
0.0505 2.1627 4.0261
0.9287 0.0000 2.6844
1.7415 2.1627 1.4723
```

Summary:
formation energy = 81 kJ/mol of formula units
energy above the most stable polymorph in this dataset = 117 meV per atom
space-group type = Pm, No. 6


Record 5
VASP calculation (GGA-PBE) on a relaxed structure of ScCoW2.

```
ScCoW2
1.0
1.4370 0.8296 8.9265
-1.4370 0.8296 8.9265
0.0000 -1.6593 8.9265
Sc Co W
1 1 2
Cartesian
0.0000 0.0000 0.0000
0.0000 0.0000 19.9904
0.0000 0.0000 6.4529
0.0000 0.0000 12.9942
```

Summary:
formation energy = 138 kJ/mol of formula units
energy above the most stable polymorph in this dataset = 263 meV per atom
space-group type = R3m, No. 160


Record 6
VASP calculation (GGA-PBE) on a relaxed structure of Sc2CoW.

```
Sc2CoW
1.0
2.9746 0.0000 0.0000
0.0000 2.9746 0.0000
0.0000 0.0000 8.1907
Sc Co W
2 1 1
Cartesian
0.0000 0.0000 0.0000
1.4873 1.4873 2.8968
1.4873 1.4873 6.3672
0.0000 0.0000 4.9585
```

Summary:
formation energy = 9 kJ/mol of formula units
energy above the most stable polymorph in this dataset = 0 meV per atom
space-group type = P4mm, No. 99


Record 7
VASP calculation (GGA-PBE) on a relaxed structure of Sc2CoW.

```
Sc2CoW
1.0
0.0000 3.2169 3.2169
3.2169 0.0000 3.2169
3.2169 3.2169 0.0000
Sc Co W
2 1 1
Cartesian
0.0000 0.0000 0.0000
1.6084 1.6084 1.6084
3.2169 3.2169 3.2169
4.8253 4.8253 4.8253
```

Summary:
formation energy = 123 kJ/mol of formula units
energy above the most stable polymorph in this dataset = 295 meV per atom
space-group type = F-43m, No. 216


Record 8
VASP calculation (GGA-PBE) on a relaxed structure of Sc4CoW.

```
Sc4CoW
1.0
0.0000 3.8767 3.8767
3.8767 0.0000 3.8767
3.8767 3.8767 0.0000
Sc Co W
4 1 1
Cartesian
0.9645 0.9645 0.9645
2.9122 2.9122 0.9645
2.9122 0.9645 2.9122
0.9645 2.9122 2.9122
3.8767 3.8767 3.8767
5.8150 5.8150 5.8150
```

Summary:
formation energy = 472 kJ/mol of formula units
space-group type = F-43m, No. 216


> What is the formula in the second record?

ScCoW2